Record 1
Below is a geometry-optimized Pm5NdY2 structure, with properties calculated at the PBE-GGA level.

a = 7.273 Å, b = 14.545 Å, c = 5.131 Å
α = 90.00°, β = 90.00°, γ = 90.00°
Space group Pbam (No. 55)
Asymmetric unit:
Pm  0.000  0.000  0.000 x2
Pm  0.000  0.250  0.000 x4
Pm  0.250  0.125  0.500 x4
Nd  0.000  0.500  0.000 x2
Y  0.250  0.375  0.500 x4

crystal system = orthorhombic
offset from the most stable computed form = 0.000 eV/f.u.


Record 2
Below is a geometry-optimized Pm2NdY6 structure, with properties calculated at the PBE-GGA level.

a = 12.988 Å, b = 14.306 Å, c = 6.629 Å
α = 90.00°, β = 102.80°, γ = 90.00°
Space group C2/c (No. 15)
Asymmetric unit:
Pm  0.140  0.026  0.372 x8
Nd  0.000  0.380  0.250 x4
Y  0.035  0.188  0.002 x8
Y  0.135  0.415  0.816 x8
Y  0.240  0.201  0.730 x8

crystal system = monoclinic


Record 3
Below is a geometry-optimized Pm3Nd8Y4 structure, with properties calculated at the PBE-GGA level.

a = 14.005 Å, b = 12.281 Å, c = 6.962 Å
α = 90.00°, β = 118.84°, γ = 90.00°
Space group C2/m (No. 12)
Asymmetric unit:
Pm  0.000  0.000  0.000 x2
Pm  0.250  0.250  0.000 x4
Nd  0.000  0.205  0.500 x4
Nd  0.000  0.252  0.000 x4
Nd  0.204  0.000  0.691 x4
Nd  0.247  0.500  0.768 x4
Y  0.000  0.500  0.000 x2
Y  0.000  0.500  0.500 x2
Y  0.250  0.250  0.500 x4

crystal system = monoclinic


Record 4
Below is a geometry-optimized Pm3Nd4Y4 structure, with properties calculated at the PBE-GGA level.

a = 3.621 Å, b = 9.457 Å, c = 22.476 Å
α = 90.00°, β = 90.00°, γ = 90.00°
Space group Immm (No. 71)
Asymmetric unit:
Pm  0.000  0.000  0.000 x2
Pm  0.000  0.500  0.109 x4
Nd  0.000  0.323  0.356 x8
Y  0.000  0.000  0.259 x4
Y  0.000  0.182  0.500 x4

crystal system = orthorhombic
offset from the most stable computed form = 0.000 eV/f.u.


Record 5
Below is a geometry-optimized Pm2Nd4Y structure, with properties calculated at the PBE-GGA level.

a = 3.6599 Å, b = 3.6599 Å, c = 62.5326 Å
α = 90.00°, β = 90.00°, γ = 120.00°
Space group R-3m (No. 166, hexagonal axes)
Asymmetric unit:
Pm  0.0000  0.0000  0.0719 x6
Nd  0.0000  0.0000  0.2136 x6
Nd  0.0000  0.0000  0.3574 x6
Y  0.0000  0.0000  0.5000 x3

crystal system = trigonal


Record 6
Below is a geometry-optimized PmNd2Y5 structure, with properties calculated at the PBE-GGA level.

a = 7.216 Å, b = 14.439 Å, c = 5.099 Å
α = 90.00°, β = 90.00°, γ = 90.00°
Space group Pbam (No. 55)
Asymmetric unit:
Pm  0.000  0.000  0.000 x2
Nd  0.249  0.375  0.500 x4
Y  0.000  0.500  0.000 x2
Y  0.002  0.750  0.000 x4
Y  0.248  0.125  0.500 x4

crystal system = orthorhombic
offset from the most stable computed form = 0.000 eV/f.u.


Record 7
Below is a geometry-optimized Pm2Nd5Y4 structure, with properties calculated at the PBE-GGA level.

a = 3.566 Å, b = 9.243 Å, c = 23.724 Å
α = 90.00°, β = 90.00°, γ = 90.00°
Space group Immm (No. 71)
Asymmetric unit:
Pm  0.000  0.000  0.232 x4
Nd  0.000  0.198  0.355 x8
Nd  0.000  0.500  0.000 x2
Y  0.000  0.000  0.098 x4
Y  0.000  0.313  0.500 x4

crystal system = orthorhombic
offset from the most stable computed form = 1.959 eV/f.u.


Record 8
Below is a geometry-optimized Pm4NdY2 structure, with properties calculated at the PBE-GGA level.

a = 12.048 Å, b = 24.404 Å, c = 6.510 Å
α = 90.00°, β = 90.00°, γ = 90.00°
Space group Fdd2 (No. 43)
Asymmetric unit:
Pm  0.050  0.072  0.000 x16
Pm  0.064  0.142  0.525 x16
Nd  0.000  0.000  0.481 x8
Y  0.028  0.216  0.048 x16

crystal system = orthorhombic
offset from the most stable computed form = 0.000 eV/f.u.


Record 9
Below is a geometry-optimized Pm4Nd5Y structure, with properties calculated at the PBE-GGA level.

a = 10.620 Å, b = 10.620 Å, c = 6.253 Å
α = 90.00°, β = 90.00°, γ = 90.00°
Space group I4mm (No. 107)
Asymmetric unit:
Pm  0.000  0.325  0.000 x8
Nd  0.000  0.000  0.257 x2
Nd  0.189  0.189  0.527 x8
Y  0.000  0.000  0.792 x2

crystal system = tetragonal
offset from the most stable computed form = 0.898 eV/f.u.


Record 10
Below is a geometry-optimized PmNd8Y5 structure, with properties calculated at the PBE-GGA level.

a = 9.721 Å, b = 9.721 Å, c = 10.425 Å
α = 90.00°, β = 90.00°, γ = 90.00°
Space group I-4 (No. 82)
Asymmetric unit:
Pm  0.000  0.000  0.000 x2
Nd  0.068  0.172  0.651 x8
Nd  0.091  0.321  0.998 x8
Y  0.000  0.500  0.750 x2
Y  0.111  0.297  0.324 x8

crystal system = tetragonal


Record 11
Below is a geometry-optimized Pm9Nd2Y structure, with properties calculated at the PBE-GGA level.

a = 5.160 Å, b = 5.160 Å, c = 15.476 Å
α = 90.00°, β = 90.00°, γ = 90.00°
Space group P4/mmm (No. 123)
Asymmetric unit:
Pm  0.000  0.000  0.000 x1
Pm  0.000  0.000  0.333 x2
Pm  0.000  0.500  0.166 x4
Pm  0.000  0.500  0.500 x2
Nd  0.500  0.500  0.332 x2
Y  0.500  0.500  0.000 x1

crystal system = tetragonal


Record 12
Below is a geometry-optimized Pm2Nd8Y3 structure, with properties calculated at the PBE-GGA level.

a = 6.325 Å, b = 6.331 Å, c = 11.544 Å
α = 89.95°, β = 79.42°, γ = 80.41°
Space group P-1 (No. 2)
Asymmetric unit:
Pm  0.115  0.231  0.039 x2
Nd  0.038  0.078  0.348 x2
Nd  0.193  0.384  0.729 x2
Nd  0.346  0.692  0.117 x2
Nd  0.423  0.846  0.806 x2
Y  0.269  0.539  0.424 x2
Y  0.500  0.000  0.500 x1

crystal system = triclinic
offset from the most stable computed form = 0.000 eV/f.u.


Record 13
Below is a geometry-optimized Pm8NdY2 structure, with properties calculated at the PBE-GGA level.

a = 19.467 Å, b = 7.076 Å, c = 5.693 Å
α = 90.00°, β = 93.44°, γ = 90.00°
Space group C2/m (No. 12)
Asymmetric unit:
Pm  0.045  0.000  0.237 x4
Pm  0.132  0.233  0.730 x8
Pm  0.187  0.500  0.230 x4
Nd  0.000  0.500  0.000 x2
Y  0.216  0.000  0.255 x4

crystal system = monoclinic
offset from the most stable computed form = 0.440 eV/f.u.


Record 14
Below is a geometry-optimized PmNd6Y12 structure, with properties calculated at the PBE-GGA level.

a = 13.7124 Å, b = 13.7124 Å, c = 12.4909 Å
α = 90.00°, β = 90.00°, γ = 120.00°
Space group R-3m (No. 166, hexagonal axes)
Asymmetric unit:
Pm  0.0000  0.0000  0.0000 x3
Nd  0.0224  0.5112  0.7252 x18
Y  0.0000  0.3836  0.5000 x18
Y  0.0949  0.1898  0.3661 x18

crystal system = trigonal
offset from the most stable computed form = 4.574 eV/f.u.


Record 15
Below is a geometry-optimized Pm3Nd3Y structure, with properties calculated at the PBE-GGA level.

a = 9.7939 Å, b = 9.7939 Å, c = 5.8757 Å
α = 90.00°, β = 90.00°, γ = 120.00°
Space group P6_3/m (No. 176)
Asymmetric unit:
Pm  0.0451  0.2381  0.2500 x6
Nd  0.0947  0.4752  0.7500 x6
Y  0.3333  0.6667  0.2500 x2

crystal system = hexagonal
offset from the most stable computed form = 0.000 eV/f.u.


Record 16
Below is a geometry-optimized Pm2Nd3Y4 structure, with properties calculated at the PBE-GGA level.

a = 11.073 Å, b = 5.139 Å, c = 11.316 Å
α = 90.00°, β = 100.52°, γ = 90.00°
Space group C2/m (No. 12)
Asymmetric unit:
Pm  0.164  0.000  0.077 x4
Nd  0.000  0.000  0.500 x2
Nd  0.059  0.500  0.259 x4
Y  0.142  0.000  0.779 x4
Y  0.220  0.500  0.602 x4

crystal system = monoclinic
offset from the most stable computed form = 1.030 eV/f.u.


Record 17
Below is a geometry-optimized Pm3NdY7 structure, with properties calculated at the PBE-GGA level.

a = 7.1387 Å, b = 7.1387 Å, c = 8.7284 Å
α = 90.00°, β = 90.00°, γ = 120.00°
Space group P3m1 (No. 156)
Asymmetric unit:
Pm  0.9996  0.4998  0.0000 x3
Nd  0.3333  0.6667  0.3366 x1
Y  0.1673  0.3346  0.6655 x3
Y  0.3349  0.1675  0.3368 x3
Y  0.6667  0.3333  0.6642 x1

crystal system = trigonal
offset from the most stable computed form = 0.499 eV/f.u.


Record 18
Below is a geometry-optimized Pm2Nd5Y6 structure, with properties calculated at the PBE-GGA level.

a = 11.830 Å, b = 20.737 Å, c = 3.628 Å
α = 90.00°, β = 90.00°, γ = 90.00°
Space group Pbam (No. 55)
Asymmetric unit:
Pm  0.171  0.213  0.000 x4
Nd  0.000  0.500  0.500 x2
Nd  0.085  0.775  0.500 x4
Nd  0.201  0.049  0.500 x4
Y  0.059  0.920  0.000 x4
Y  0.079  0.632  0.000 x4
Y  0.179  0.367  0.500 x4

crystal system = orthorhombic


E_form in meV/atom, matching the order above: 13 96 321 127 8 18 193 55 235 244 15 14 149 445 24 206 184 91